## HgSbAu2 (PBEsol)

Data for an optimized crystal structure of HgSbAu2.

```
data_HgSbAu2
_symmetry_space_group_name_H-M 'P 1'
_symmetry_Int_Tables_number 1
_cell_length_a 3.7499
_cell_length_b 4.0357
_cell_length_c 6.8626
_cell_angle_alpha 104.59
_cell_angle_beta 90.00
_cell_angle_gamma 117.68
loop_
_symmetry_equiv_pos_as_xyz
'x,y,z'
loop_
_atom_site_label
_atom_site_type_symbol
_atom_site_fract_x
_atom_site_fract_y
_atom_site_fract_z
_atom_site_occupancy
Au1 Au 0.7485 0.4969 0.7473 1
Au2 Au 0.2515 0.5031 0.2527 1
Hg1 Hg 0.5000 0.0000 0.0000 1
Sb1 Sb 0.0000 0.0000 0.5000 1
```

## Properties
SG ... C2/m, No. 12
Mass density ... 13.49 g cm⁻³
Raw total energy ... -3.211 eV per atom
Formation energy from raw total energies ... 0.03 eV per atom